Compound: RbZrTl
Source: Alexandria
Functional: GGA-PBE
Structure: relaxed

Structure (POSCAR):
```
RbZrTl
1.0
-3.550 -1.653 12.011
0.847 -4.738 -0.371
3.864 3.108 0.551
Tl Rb Zr
2 2 2
Cartesian
0.636 -0.561 3.386 Tl
0.848 -0.285 0.336 Tl
-0.630 -3.411 5.495 Rb
0.233 -1.242 10.155 Rb
3.726 0.091 2.114 Zr
2.490 -2.563 1.787 Zr
```

Properties
Space group: P1, No. 1
Total magnetization (Bohr magnetons per cell): 0.00
ΔE_f (eV per atom): 0.191

***

Compound: AlRuPt2
Source: Alexandria
Functional: GGA-PBE
Structure: relaxed

Structure (POSCAR):
```
AlRuPt2
1.0
4.804 0.006 0.000
3.995 2.667 0.000
1.074 0.326 4.617
Ru Al Pt
1 1 2
Cartesian
5.062 1.538 2.347 Ru
2.415 0.734 1.099 Al
8.697 2.642 0.105 Pt
7.436 2.259 3.372 Pt
```

Properties
Space group: Cm, No. 8
Total magnetization (Bohr magnetons per cell): 0.00
ΔE_f (eV per atom): -0.444

***

Compound: LiTm2Pt3
Source: Alexandria
Functional: GGA-PBE
Structure: relaxed

Structure (POSCAR):
```
LiTm2Pt3
1.0
3.440 0.000 0.000
0.000 3.440 0.000
0.000 0.000 9.282
Li Tm Pt
1 2 3
Cartesian
1.720 1.720 4.641 Li
1.720 1.720 7.555 Tm
1.720 1.720 1.726 Tm
0.000 0.000 0.000 Pt
0.000 0.000 6.017 Pt
0.000 0.000 3.265 Pt
```

Properties
Space group: P4/mmm, No. 123
Total magnetization (Bohr magnetons per cell): 0.00
ΔE_f (eV per atom): -1.111

***

Compound: Er4As2C
Source: Alexandria
Functional: GGA-PBE
Structure: relaxed

Structure (POSCAR):
```
Er4As2C
1.0
-3.110 -1.909 -1.031
3.531 -2.201 -6.574
1.086 -1.862 7.144
Er As C
4 2 1
Cartesian
-1.192 -3.879 3.806 Er
2.700 -2.093 -4.267 Er
-0.850 -2.328 -0.098 Er
2.358 -3.644 -0.363 Er
0.482 -3.172 -2.552 As
1.025 -2.800 2.091 As
0.000 0.000 0.000 C
```

Properties
Space group: C2/m, No. 12
Total magnetization (Bohr magnetons per cell): 1.75
ΔE_f (eV per atom): -0.871

***

Compound: Sm4HgGeSe2
Source: Alexandria
Functional: GGA-PBE
Structure: relaxed

Structure (POSCAR):
```
Sm4HgGeSe2
1.0
6.022 0.003 0.000
-0.003 6.022 0.000
-3.010 -3.013 6.008
Sm Hg Ge Se
4 1 1 2
Cartesian
3.011 0.002 6.001 Sm
3.011 0.002 0.007 Sm
3.010 3.013 3.109 Sm
0.000 0.000 2.899 Sm
3.010 3.013 0.000 Hg
3.011 0.002 3.004 Ge
-0.002 3.011 3.004 Se
0.000 0.000 0.000 Se
```

Properties
Space group: I-4m2, No. 119
Total magnetization (Bohr magnetons per cell): 0.00
Energy relative to the elements, uncorrected (meV per atom): -1229

***

Compound: Tc2MoRh
Source: Alexandria
Functional: GGA-PBE
Structure: relaxed

Structure (POSCAR):
```
Tc2MoRh
1.0
9.167 -0.003 -0.002
8.754 2.720 -0.002
8.754 1.327 2.374
Mo Rh Tc
1 1 2
Cartesian
13.288 2.015 1.181 Mo
20.015 3.035 1.779 Rh
26.639 4.039 2.368 Tc
6.748 1.023 0.600 Tc
```

Properties
Space group: R3m, No. 160
Total magnetization (Bohr magnetons per cell): 0.00
ΔE_f (eV per atom): 0.015

***

Compound: AcHo2OsO8
Source: Alexandria
Functional: GGA-PBE
Structure: relaxed

Structure (POSCAR):
```
AcHo2OsO8
1.0
5.101 0.051 -0.003
0.095 5.098 -0.006
0.004 0.008 7.025
Ac Ho Os O
1 2 1 8
Cartesian
0.002 0.004 3.512 Ac
2.602 2.580 5.247 Ho
2.599 2.576 1.768 Ho
0.000 0.000 0.000 Os
1.039 4.141 1.370 O
3.845 3.817 -0.007 O
4.159 1.011 1.371 O
4.162 1.015 5.646 O
1.356 1.339 7.022 O
1.042 4.145 5.645 O
3.511 3.493 3.506 O
1.690 1.663 3.510 O
```

Properties
Space group: P2/m, No. 10
Total magnetization (Bohr magnetons per cell): 1.04
Energy relative to the elements, uncorrected (meV per atom): -2507